Below is a geometry-optimized RbTl6In2 structure, with properties calculated at the PBE level.

Properties
ΔE_f: -0.013 eV/atom
Crystal system: tetragonal
Total moment: 0.00 μB per formula unit

CIF file:
```
data_RbTl6In2
_symmetry_space_group_name_H-M 'P 4/m m m'
_symmetry_Int_Tables_number 123
_symmetry_space_group_name_Hall '-P 4 2'
_cell_length_a 5.4098
_cell_length_b 5.4098
_cell_length_c 10.3921
_cell_angle_alpha 90.00
_cell_angle_beta 90.00
_cell_angle_gamma 90.00
loop_
_atom_site_label
_atom_site_fract_x
_atom_site_fract_y
_atom_site_fract_z
Rb1 0.0000 0.0000 0.0000
Tl1 0.0000 0.0000 0.5000
Tl2 0.0000 0.5000 0.2990
Tl3 0.5000 0.5000 0.5000
In1 0.5000 0.5000 0.1437
```


Below is a geometry-optimized Ba2GaCuAu6 structure, with properties calculated at the PBE level.

Properties
ΔE_f: -0.475 eV/atom
Crystal system: monoclinic
Total moment: 0.00 μB per formula unit

CIF file:
```
data_Ba2GaCuAu6
_symmetry_space_group_name_H-M 'C 1 2/m 1'
_symmetry_Int_Tables_number 12
_cell_length_a 11.9705
_cell_length_b 6.9423
_cell_length_c 7.2148
_cell_angle_alpha 90.00
_cell_angle_beta 123.29
_cell_angle_gamma 90.00
loop_
_symmetry_equiv_pos_as_xyz
'x,y,z'
'-x,-y,-z'
'-x,y,-z'
'x,-y,z'
'x+1/2,y+1/2,z'
'-x+1/2,-y+1/2,-z'
'-x+1/2,y+1/2,-z'
'x+1/2,-y+1/2,z'
loop_
_atom_site_label
_atom_site_fract_x
_atom_site_fract_y
_atom_site_fract_z
Ba1 0.2196 0.0000 0.1604
Ga1 0.0000 0.0000 0.5000
Cu1 0.0000 0.5000 0.0000
Au1 0.0382 0.2907 0.3252
Au2 0.2479 0.5000 0.3229
```


Below is a geometry-optimized AgP2W structure, with properties calculated at the PBE level.

Properties
ΔE_f: 0.106 eV/atom
Crystal system: orthorhombic
Total moment: 0.00 μB per formula unit

CIF file:
```
data_AgP2W
_symmetry_space_group_name_H-M 'I m m 2'
_symmetry_Int_Tables_number 44
_cell_length_a 3.0753
_cell_length_b 3.4418
_cell_length_c 12.7947
_cell_angle_alpha 90.00
_cell_angle_beta 90.00
_cell_angle_gamma 90.00
loop_
_symmetry_equiv_pos_as_xyz
'x,y,z'
'-x,-y,z'
'-x,y,z'
'x,-y,z'
'x+1/2,y+1/2,z+1/2'
'-x+1/2,-y+1/2,z+1/2'
'-x+1/2,y+1/2,z+1/2'
'x+1/2,-y+1/2,z+1/2'
loop_
_atom_site_label
_atom_site_fract_x
_atom_site_fract_y
_atom_site_fract_z
Ag1 0.0000 0.0000 0.0000
P1 0.0000 0.0000 0.6216
P2 0.0000 0.5000 0.8396
W1 0.0000 0.5000 0.2676
```


Q: ΔE_f of number 2 (Ba2GaCuAu6)?
A: -0.475 eV/atom